Density functional theory data (GGA-PBE) for a relaxed Th2Zn2Fe15 crystal.

```
data_Th2Zn2Fe15
_chemical_formula_sum 'Th6 Zn6 Fe45'
_symmetry_space_group_name_H-M 'R -3 m'
_symmetry_Int_Tables_number 166
_symmetry_space_group_name_Hall '-R 3 2"'
_cell_length_a 8.4723
_cell_length_b 8.4723
_cell_length_c 12.6326
_cell_angle_alpha 90.00
_cell_angle_beta 90.00
_cell_angle_gamma 120.00
loop_
_atom_site_label
_atom_site_type_symbol
_atom_site_fract_x
_atom_site_fract_y
_atom_site_fract_z
Th1 Th 0.0000 0.0000 0.1553
Zn1 Zn 0.0000 0.0000 0.4031
Fe1 Fe 0.0000 0.3004 0.5000
Fe2 Fe 0.0000 0.5000 0.0000
Fe3 Fe 0.0005 0.5003 0.3403
```

- electronic total energy (eV/f.u.) = -144.76
- total magnetic moment (μB per formula unit) = 30.11
- Fermi-level density of states (states/eV/atom) = 1.159
- E_form (eV per atom) = -0.02
- calculated volume (Å³/cell) = 785

***

Density functional theory data (GGA-PBE) for a relaxed TaSeCl3 crystal.

```
data_TaSeCl3
_chemical_formula_sum 'Ta1 Se1 Cl3'
_symmetry_space_group_name_H-M 'P m -3 m'
_symmetry_Int_Tables_number 221
_symmetry_space_group_name_Hall '-P 4 2 3'
_cell_length_a 5.1291
_cell_length_b 5.1291
_cell_length_c 5.1291
_cell_angle_alpha 90.00
_cell_angle_beta 90.00
_cell_angle_gamma 90.00
loop_
_atom_site_label
_atom_site_type_symbol
_atom_site_fract_x
_atom_site_fract_y
_atom_site_fract_z
Ta1 Ta 0.0000 0.0000 0.0000
Se1 Se 0.5000 0.5000 0.5000
Cl1 Cl 0.0000 0.5000 0.5000
```

- electronic total energy (eV/f.u.) = -15.56
- ΔE_f (raw) (kJ/mol of atoms) = 103
- total magnetic moment (μB per formula unit) = 3.82
- Fermi-level density of states (states/eV/atom) = 1.536
- calculated volume (Å³/cell) = 135

***

What are the calculated density values for these records? In order: 9.09, 4.51 g/cm3.